Entry A
12
Lattice="8.221 -3.061 0.000 8.221 3.061 0.000 -4.620 0.000 8.531" Properties=species:S:1:pos:R:3 comment="La7Tb4Pm, optimized geometry, DFT PBE-GGA" space_group="C2/m (12)" pbc="T T T"
La 0.000 0.000 0.000
La 1.104 0.000 6.401
La 4.228 0.000 0.936
La 4.254 0.000 4.634
La 7.568 0.000 3.896
La 7.594 0.000 7.595
La 10.718 0.000 2.130
Tb -2.160 0.000 5.993
Tb 1.072 0.000 3.115
Tb 10.750 0.000 5.415
Tb 13.982 0.000 2.537
Pm 8.221 0.000 0.000

Entry B
12
Lattice="6.446 0.000 0.000 -0.002 7.386 0.000 -2.130 -0.007 8.879" Properties=species:S:1:pos:R:3 comment="La7Tb4Pm, optimized geometry, DFT PBE-GGA" space_group="P-1 (2)" pbc="T T T"
La 0.000 0.000 0.000
La 0.000 3.688 5.921
La 1.098 5.541 2.985
La 1.085 5.559 8.857
La 3.230 1.819 0.023
La 3.216 1.838 5.894
La 4.314 3.691 2.958
Tb -0.009 -0.004 5.906
Tb 1.082 1.810 2.945
Tb 3.232 5.568 5.935
Tb 4.323 7.383 2.973
Pm -0.001 3.693 0.000

The least stable of the structures above is entry A, whereas entry B is the most stable.